Entry 1:
Compound: GaMo2H2
Source: Alexandria via LeMat-Bulk
Functional: PBE-GGA
Structure: optimized geometry

a b c (Å): 3.1612 3.1612 10.3325
angles (deg): 90.00 90.00 90.00
With the nearest neighbours (Å) after each atom.
Space group I4/mmm (No. 139)
Asymmetric unit:
Ga: 0.0000 0.0000 0.0000 x2  8 Mo 2.73, 8 H 3.03
Mo: 0.0000 0.0000 0.3484 x4  4 H 1.88
H: 0.0000 0.5000 0.2500 x4  4 Mo 1.88


Entry 2:
Compound: GaMoH2
Source: Alexandria via LeMat-Bulk
Functional: PBE-GGA
Structure: optimized geometry

Energy above the lowest structure with this stoichiometry, meV/atom: 158.6

a b c (Å): 6.8154 4.8225 5.2185
angles (deg): 90.00 90.00 90.00
With the nearest neighbours (Å) after each atom.
Space group Pnma (No. 62)
Asymmetric unit:
Ga: 0.0722 0.2500 0.0955 x4  2 H 2.07
Mo: 0.0252 0.7500 0.4007 x4  4 H 1.86
H: 0.1858 0.0080 0.5628 x8  2 Mo 1.86, 1 Ga 2.07


Entry 3:
Compound: GaMoH
Source: Alexandria via LeMat-Bulk
Functional: PBE-GGA
Structure: optimized geometry

Energy above the lowest structure with this stoichiometry, meV/atom: 53.8

a b c (Å): 3.1725 4.7938 5.2012
angles (deg): 85.44 72.31 70.70
With the nearest neighbours (Å) after each atom.
Space group P1 (No. 1)
Asymmetric unit:
Ga: 0.0000 0.0000 0.0000 x1  4 H 2.40-2.51
Ga: 0.1626 0.3606 0.3122 x1  3 H 2.40-2.67
Mo: 0.3995 0.4246 0.7731 x1  2 H 1.88
Mo: 0.7771 0.9089 0.5396 x1  3 H 1.85-2.04
H: 0.4059 0.8325 0.3576 x1  2 Mo 1.85
H: 0.7548 0.6306 0.8567 x1  3 Mo 1.88-2.04


Entry 4:
Compound: Ga2MoH2
Source: Alexandria via LeMat-Bulk
Functional: PBE-GGA
Structure: optimized geometry

a b c (Å): 5.6227 5.6227 3.5210
angles (deg): 90.00 90.00 90.00
With the nearest neighbours (Å) after each atom.
Space group P4/mbm (No. 127)
Asymmetric unit:
Ga: 0.1608 0.3392 0.0000 x4  2 H 2.06
Mo: 0.0000 0.0000 0.5000 x2  4 H 2.02
H: 0.2051 0.7051 0.5000 x4  2 Mo 2.02, 2 Ga 2.06


Entry 5:
Compound: GaMo2H
Source: Alexandria via LeMat-Bulk
Functional: PBE-GGA
Structure: optimized geometry

Energy above the lowest structure with this stoichiometry, meV/atom: 232.2

a b c (Å): 3.8808 3.8808 12.9789
angles (deg): 90.00 90.00 120.00
With the nearest neighbours (Å) after each atom.
Space group R-3m (No. 166, hexagonal axes)
Asymmetric unit:
Ga: 0.0000 0.0000 0.0000 x3  8 Mo 2.73-2.76
Mo: 0.0000 0.0000 0.2130 x6  3 H 2.32, 3 Mo 2.54
H: 0.0000 0.0000 0.5000 x3  6 Mo 2.32


Entry 6:
Compound: GaMoH
Source: Alexandria via LeMat-Bulk
Functional: PBE-GGA
Structure: optimized geometry

Energy above the lowest structure with this stoichiometry, meV/atom: 0.0

a b c (Å): 3.1844 3.1844 3.9230
angles (deg): 90.00 90.00 120.00
With the nearest neighbours (Å) after each atom.
Space group P3m1 (No. 156)
Asymmetric unit:
Ga: 0.0000 0.0000 0.0000 x1  3 H 2.44, 6 Mo 2.66-2.71
Mo: 0.3333 0.6667 0.4909 x1  3 H 1.88
H: 0.6667 0.3333 0.5901 x1  3 Mo 1.88


How do the records compare in uncorrected energy? In the order shown, they have -6.293; -4.949; -5.726; -4.473; -6.569; -5.780 eV per atom.